Record 1
## BaLiU2S6 (PBE)

Data for a geometry-optimized BaLiU2S6 structure.

a = 7.296 Å, b = 7.296 Å, c = 7.296 Å
α = 58.62°, β = 58.62°, γ = 58.62°
Fractional coordinates of all 10 atoms:
Ba 0.000 0.000 0.000
Li 0.552 0.552 0.552
U 0.235 0.235 0.235
U 0.744 0.744 0.744
S 0.104 0.481 0.874
S 0.424 0.973 0.555
S 0.481 0.874 0.104
S 0.555 0.424 0.973
S 0.874 0.104 0.481
S 0.973 0.555 0.424

Record 2
## BaLi2VS4 (PBE)

Data for a geometry-optimized BaLi2VS4 structure.

a = 6.258 Å, b = 6.258 Å, c = 6.258 Å
α = 115.38°, β = 115.38°, γ = 98.21°
Fractional coordinates of all 8 atoms:
Ba 0.000 0.000 0.000
Li 0.250 0.750 0.500
Li 0.750 0.250 0.500
V 0.500 0.500 0.000
S 0.150 0.150 0.619
S 0.469 0.850 0.000
S 0.531 0.531 0.381
S 0.850 0.469 0.000

Record 3
## BaLiVS4 (PBE)

Data for a geometry-optimized BaLiVS4 structure.

a = 6.054 Å, b = 7.067 Å, c = 8.591 Å
α = 90.00°, β = 106.81°, γ = 90.00°
Fractional coordinates of all 14 atoms:
Ba 0.238 0.250 0.407
Ba 0.762 0.750 0.593
Li 0.216 0.250 0.871
Li 0.784 0.750 0.129
V 0.308 0.750 0.200
V 0.692 0.250 0.800
S 0.067 0.750 0.965
S 0.128 0.750 0.386
S 0.464 0.009 0.763
S 0.464 0.491 0.763
S 0.536 0.509 0.237
S 0.536 0.991 0.237
S 0.872 0.250 0.614
S 0.933 0.250 0.035

Record 4
## BaLiWS4 (PBE)

Data for a geometry-optimized BaLiWS4 structure.

a = 6.460 Å, b = 6.968 Å, c = 8.408 Å
α = 90.00°, β = 105.37°, γ = 90.00°
Fractional coordinates of all 14 atoms:
Ba 0.243 0.250 0.066
Ba 0.757 0.750 0.934
Li 0.176 0.250 0.519
Li 0.824 0.750 0.481
W 0.230 0.750 0.316
W 0.770 0.250 0.684
S 0.005 0.003 0.717
S 0.005 0.497 0.717
S 0.360 0.750 0.092
S 0.464 0.750 0.562
S 0.536 0.250 0.438
S 0.640 0.250 0.908
S 0.995 0.503 0.283
S 0.995 0.997 0.283

Record 5
## BaLiYS3 (PBE)

Data for a geometry-optimized BaLiYS3 structure.

a = 8.579 Å, b = 4.095 Å, c = 8.914 Å
α = 90.00°, β = 105.18°, γ = 90.00°
Fractional coordinates of all 12 atoms:
Ba 0.194 0.250 0.242
Ba 0.806 0.750 0.758
Li 0.086 0.250 0.592
Li 0.914 0.750 0.408
Y 0.329 0.750 0.839
Y 0.671 0.250 0.161
S 0.119 0.250 0.867
S 0.204 0.750 0.525
S 0.450 0.750 0.161
S 0.550 0.250 0.839
S 0.796 0.250 0.475
S 0.881 0.750 0.133

Record 6
## Ba2Li2YS4 (PBE)

Data for a geometry-optimized Ba2Li2YS4 structure.

a = 7.746 Å, b = 7.746 Å, c = 7.353 Å
α = 109.35°, β = 109.35°, γ = 30.48°
Fractional coordinates of all 9 atoms:
Ba 0.134 0.134 0.057
Ba 0.866 0.866 0.943
Li 0.320 0.320 0.506
Li 0.680 0.680 0.494
Y 0.000 0.000 0.500
S 0.202 0.202 0.686
S 0.481 0.481 0.744
S 0.519 0.519 0.256
S 0.798 0.798 0.314

Energy relative to the elements, uncorrected, record by record: -33.49 -30.45 -29.26 -23.72 -44.58 -39.76 kcal/mol of atoms